Entry from Alexandria via LeMat-Bulk: Mn2TlTc after structural relaxation (PBE).

* space-group type: P4/mmm, No. 123
* total energy: -7.40 eV per atom
* total magnetization: 1.57 μB/atom

```
Mn2TlTc
1.0
3.1821 0.0000 0.0000
0.0000 3.1821 0.0000
0.0000 0.0000 6.3726
Mn Tl Tc
2 1 1
Cartesian
0.0000 0.0000 0.2256
0.0000 0.0000 2.9607
1.5911 1.5911 4.7795
1.5911 1.5911 1.5932
```

=====

Entry from Alexandria via LeMat-Bulk: BeP2Pt after structural relaxation (PBE).

* space-group type: Immm, No. 71
* total energy: -5.16 eV per atom
* total magnetization: 0.00 μB/atom

```
BeP2Pt
1.0
-2.3296 -5.5673 -0.5363
2.3186 -5.4178 -1.4074
1.0135 5.1187 3.0792
P Pt Be
2 1 1
Cartesian
-0.0066 -6.5537 -1.1596
-0.0099 -9.9240 -1.7560
-0.6608 -2.9706 0.7855
1.6633 -2.8959 0.3500
```

=====

Entry from Alexandria via LeMat-Bulk: PmH6IrRh after structural relaxation (PBE).

* space-group type: P3m1, No. 156
* total energy: -4.84 eV per atom
* total magnetization: 0.09 μB/atom

```
PmH6IrRh
1.0
4.7655 0.0000 -0.0003
2.3827 4.1270 0.0000
0.0000 -0.0002 4.2113
Ir H Rh Pm
1 6 1 1
Cartesian
2.3826 1.3756 2.0994
3.5390 2.0431 3.2456
3.5429 2.0455 0.9645
1.2262 2.0431 3.2458
1.2224 2.0454 0.9647
2.3825 0.0401 3.2457
2.3826 0.0359 0.9646
4.7654 2.7513 2.1133
4.7653 0.0000 0.0001
```

=====

Entry from Alexandria via LeMat-Bulk: Ac8Al2Si after structural relaxation (PBE).

* space-group type: C2/m, No. 12
* total magnetization: 0.00 μB/atom
* formation energy without anion corrections: -0.139 eV per atom

```
Ac8Al2Si
1.0
-4.9489 -1.0841 -2.0978
0.7060 -7.0894 1.9981
-1.9664 4.8871 9.2797
Ac Si Al
8 1 2
Cartesian
-1.6743 -0.3559 4.1337
0.3466 -5.3402 1.9421
-6.5559 2.0538 7.2379
-2.9727 -2.9344 1.3629
-3.2365 -0.3520 7.8171
-4.5350 -2.9304 5.0463
-3.0438 2.8164 5.7249
-3.1655 -6.1028 3.4551
-2.4744 -0.5421 -1.0489
-1.1154 -3.6737 4.5297
-5.0939 0.3873 4.6503
```

=====

Entry from Alexandria via LeMat-Bulk: CoRe2Mo after structural relaxation (PBE).

* space-group type: P4mm, No. 99
* total magnetization: 0.00 μB/atom
* excess energy over the best structure of this formula in the dataset: 0.44 eV per formula unit

```
CoRe2Mo
1.0
-0.5432 -3.0773 -0.4585
2.6837 -0.6989 1.5114
-2.8416 -0.2340 4.9374
Mo Co Re
1 1 2
Cartesian
-0.9499 -2.0545 4.0366
-1.4830 -0.1221 2.5767
-0.0144 -0.0012 0.0251
0.3255 -1.9494 1.8205
```

=====

Entry from Alexandria via LeMat-Bulk: SrTcPb2O6 after structural relaxation (PBE).

* space-group type: P2_1/c, No. 14
* total magnetization: 0.10 μB/atom
* formation energy without anion corrections: -1.583 eV per atom

```
SrTcPb2O6
1.0
5.6763 0.0000 0.0460
0.0000 6.3983 0.0000
0.1125 0.0000 8.5891
O Sr Pb Tc
12 2 4 2
Cartesian
2.3938 6.0048 6.2018
5.1757 3.5926 1.9302
0.6130 2.8057 6.7049
1.9756 4.8405 3.7720
1.1804 1.0034 4.1237
1.7139 4.2026 0.1938
4.0748 2.1957 8.4413
4.8700 4.7570 8.0895
3.3949 0.3935 2.4333
4.6083 5.3948 4.5113
0.9188 1.6413 0.5456
3.8131 1.5578 4.8631
0.0562 3.1991 4.2946
2.8381 0.0000 0.0230
2.9173 3.5227 6.7097
0.0896 0.3235 6.1970
2.8715 2.8756 1.9254
5.6991 6.0748 2.4381
2.8944 0.0000 4.3175
0.0000 3.1991 0.0000
```